Record 1
## Sr2In4Ag3Pd (GGA-PBE)

Data for a relaxed structure of Sr2In4Ag3Pd.

abc: 4.677 4.677 11.728
angles: 90.00 90.00 90.00
Fractional coordinates of all 10 atoms:
1 Pd 0.500 0.500 0.500
2 Ag 0.000 0.000 0.500
3 Ag 0.500 0.000 0.857
4 Ag 0.000 0.500 0.143
5 In 0.000 0.500 0.377
6 In 0.500 0.500 0.000
7 In 0.000 0.000 0.000
8 In 0.500 0.000 0.623
9 Sr 0.000 0.500 0.744
10 Sr 0.500 0.000 0.256

Output
- DFT total energy: -3.15 eV/atom
- Mass density: 6.9 g/cm3
- E_form: -33 kJ per mole of atoms
- DOS at the Fermi energy: 6.32 states/eV/cell

=====

Record 2
## SrInAgPd (GGA-PBE)

Data for a relaxed structure of SrInAgPd.

abc: 4.760 4.751 5.912
angles: 113.81 90.00 120.06
Fractional coordinates of all 4 atoms:
1 In 0.103 0.206 0.952
2 Pd 0.421 0.841 0.904
3 Sr 0.619 0.238 0.500
4 Ag 0.823 0.646 0.112

Output
- DFT total energy: -3.57 eV/atom
- Energy above the lowest structure with this stoichiometry: 0.000 eV per atom
- Mass density: 6.8 g/cm3
- E_form: -44 kJ per mole of atoms
- DOS at the Fermi energy: 2.66 states/eV/cell

=====

Record 3
## Sr2InAgPd (GGA-PBE)

Data for a relaxed structure of Sr2InAgPd.

abc: 5.815 5.815 5.134
angles: 90.00 90.00 90.00
Fractional coordinates of all 5 atoms:
1 Sr 0.500 0.000 0.000
2 Sr 0.000 0.500 0.000
3 In 0.000 0.000 0.500
4 Pd 0.000 0.000 0.000
5 Ag 0.500 0.500 0.500

Output
- DFT total energy: -3.10 eV/atom
- Mass density: 4.8 g/cm3
- E_form: -26 kJ per mole of atoms
- DOS at the Fermi energy: 3.94 states/eV/cell

=====

Record 4
## Sr2In3AgPd4 (GGA-PBE)

Data for a relaxed structure of Sr2In3AgPd4.

abc: 4.573 4.573 11.263
angles: 90.00 90.00 90.00
Fractional coordinates of all 10 atoms:
1 In 0.000 0.500 0.126
2 In 0.000 0.000 0.500
3 In 0.500 0.000 0.874
4 Sr 0.000 0.500 0.747
5 Sr 0.500 0.000 0.253
6 Pd 0.000 0.000 0.000
7 Pd 0.500 0.000 0.639
8 Pd 0.000 0.500 0.361
9 Pd 0.500 0.500 0.000
10 Ag 0.500 0.500 0.500

Output
- DFT total energy: -4.05 eV/atom
- Mass density: 7.4 g/cm3
- E_form: -51 kJ per mole of atoms
- DOS at the Fermi energy: 5.57 states/eV/cell